! AgAs2P | Alexandria via LeMat-Bulk | SCAN | PBEsol geometry; values from VASP
! calculated total energy = -20.046 eV/atom
! M_tot = 0.00 μB/atom
! E_form = 0.491 eV per atom
! crystal system = orthorhombic
&SYSTEM
  ibrav = 0, nat = 4, ntyp = 3
/
ATOMIC_SPECIES
P 30.97 P.upf
As 74.92 As.upf
Ag 107.87 Ag.upf
ATOMIC_POSITIONS crystal
P 0.5000 0.5000 0.0000
As 0.0000 0.0000 0.0000
As 0.5000 0.0000 0.5000
Ag 0.0000 0.5000 0.5000
CELL_PARAMETERS angstrom
2.8033 0.0000 0.0000
0.0000 4.8810 0.0000
0.0000 0.0000 5.0400

! AgAsP | Alexandria via LeMat-Bulk | SCAN | PBEsol geometry; values from VASP
! calculated total energy = -19.958 eV/atom
! M_tot = 0.00 μB/atom
! E_form = 0.694 eV per atom
! crystal system = hexagonal
&SYSTEM
  ibrav = 0, nat = 6, ntyp = 3
/
ATOMIC_SPECIES
Ag 107.87 Ag.upf
As 74.92 As.upf
P 30.97 P.upf
ATOMIC_POSITIONS crystal
Ag 0.6667 0.3333 0.2500
As 0.3333 0.6667 0.2500
As 0.6667 0.3333 0.7500
Ag 0.3333 0.6667 0.7500
P 0.0000 0.0000 0.5000
P 0.0000 0.0000 0.0000
CELL_PARAMETERS angstrom
4.6863 0.0000 0.0000
-2.3431 4.0584 0.0000
0.0000 0.0000 5.4281

! YAg2AsP | Alexandria via LeMat-Bulk | SCAN | PBEsol geometry; values from VASP
! calculated total energy = -23.108 eV/atom
! M_tot = 0.00 μB/atom
! E_form = 1.125 eV per atom
! crystal system = tetragonal
&SYSTEM
  ibrav = 0, nat = 5, ntyp = 4
/
ATOMIC_SPECIES
As 74.92 As.upf
P 30.97 P.upf
Ag 107.87 Ag.upf
Y 88.91 Y.upf
ATOMIC_POSITIONS crystal
As 0.5000 0.5000 0.5000
P 0.5000 0.0000 0.0000
Ag 0.0000 0.0000 0.5000
Ag 0.0000 0.5000 0.0000
Y 0.0000 0.0000 0.0000
CELL_PARAMETERS angstrom
5.0581 0.0000 0.0000
0.0000 5.2238 0.0000
0.0000 0.0000 5.2238